Density functional theory data (SCAN) for a crystal of Li7Ho3Mo8O32 relaxed with PBEsol.

Properties
**V**: 604.91 Å³ per cell
**Space group**: No. 1
**Formation energy from raw total energies**: -2549 meV per atom

a b c (Å): 6.6768 9.6890 10.5419
angles (deg): 66.77 82.86 74.92
Atoms (fractional coordinates):
O (0.9489, 0.0925, 0.8636)
O (0.6976, 0.4837, 0.3431)
O (0.6461, 0.9218, 0.9278)
O (0.3733, 0.6942, 0.3537)
O (0.5984, 0.2900, 0.9056)
O (0.0525, 0.9008, 0.1366)
O (0.0446, 0.2605, 0.5675)
O (0.1125, 0.5627, 0.2700)
O (0.4543, 0.2334, 0.4397)
O (0.8985, 0.4366, 0.7280)
O (0.8072, 0.0190, 0.6598)
O (0.9114, 0.1968, 0.0978)
O (0.0922, 0.7927, 0.9097)
O (0.4077, 0.7076, 0.0880)
O (0.4413, 0.5934, 0.8590)
O (0.8594, 0.5901, 0.0748)
O (0.5475, 0.4111, 0.1519)
O (0.3525, 0.0783, 0.0708)
O (0.3008, 0.2009, 0.7918)
O (0.6012, 0.0687, 0.2650)
O (0.5434, 0.7605, 0.5639)
O (0.7922, 0.7059, 0.7935)
O (0.6276, 0.3083, 0.6464)
O (0.9540, 0.7350, 0.4353)
O (0.1220, 0.8067, 0.6484)
O (0.1840, 0.9800, 0.3381)
O (0.3936, 0.9311, 0.7336)
O (0.3112, 0.5219, 0.6601)
O (0.1671, 0.4092, 0.9337)
O (0.8717, 0.1948, 0.3554)
O (0.2008, 0.2982, 0.2093)
O (0.6963, 0.7993, 0.2056)
Mo (0.1506, 0.1415, 0.1818)
Mo (0.1198, 0.7307, 0.2977)
Mo (0.3798, 0.7646, 0.7031)
Mo (0.6166, 0.2330, 0.2997)
Mo (0.3555, 0.3587, 0.8162)
Mo (0.8475, 0.8592, 0.8167)
Mo (0.6537, 0.6375, 0.1822)
Mo (0.8820, 0.2702, 0.7053)
Li (0.7467, 0.4701, 0.9021)
Li (0.9867, 0.6383, 0.6381)
Li (0.4892, 0.1424, 0.6366)
Li (0.9994, 0.0020, 0.5007)
Li (0.0110, 0.3579, 0.3680)
Li (0.5126, 0.8587, 0.3639)
Li (0.5072, 0.5061, 0.5029)
Ho (0.7250, 0.0467, 0.0600)
Ho (0.2294, 0.5421, 0.0591)
Ho (0.2754, 0.9548, 0.9385)